*1*
This record from Alexandria describes crystalline Tl4Te at its relaxed geometry. The functional is PBE.

Lattice parameters (Å, degrees): 6.428 6.428 8.495 131.24 131.24 40.21
Element x y z (fractional)
Tl 0.097 0.097 0.385
Tl 0.287 0.287 0.190
Tl 0.713 0.713 0.810
Tl 0.903 0.903 0.615
Te 0.500 0.500 0.000

=====

*2*
This record from Alexandria describes crystalline Tl4Te at its relaxed geometry. The functional is PBE.

Lattice parameters (Å, degrees): 6.243 6.243 6.243 90.00 90.00 90.00
Element x y z (fractional)
Tl 0.000 0.000 0.000
Tl 0.000 0.500 0.500
Tl 0.500 0.000 0.500
Tl 0.500 0.500 0.000
Te 0.500 0.500 0.500

=====

*3*
This record from Alexandria describes crystalline Tl4Te at its relaxed geometry. The functional is PBE.

Lattice parameters (Å, degrees): 6.562 6.562 6.562 109.47 109.47 109.47
Element x y z (fractional)
Tl 0.000 0.000 0.500
Tl 0.000 0.500 0.000
Tl 0.500 0.000 0.000
Tl 0.500 0.500 0.500
Te 0.000 0.000 0.000

=====

*4*
This record from Alexandria describes crystalline Tl4Te at its relaxed geometry. The functional is PBE.

Lattice parameters (Å, degrees): 9.503 9.503 9.503 153.23 153.23 38.23
Element x y z (fractional)
Tl 0.088 0.088 0.000
Tl 0.250 0.750 0.500
Tl 0.750 0.250 0.500
Tl 0.912 0.912 0.000
Te 0.500 0.500 0.000

=====

Stability ranking, top entry: *1*; the second entry is 12.4 kJ/mol of atoms less favorable.

=====

*1*
This record from Alexandria describes crystalline Tl2Te3 at its relaxed geometry. The functional is PBE.

Lattice parameters (Å, degrees): 9.979 9.979 9.979 109.47 109.47 109.47
Element x y z (fractional)
Tl 0.000 0.433 0.500
Tl 0.000 0.933 0.500
Tl 0.067 0.067 0.067
Tl 0.433 0.500 0.000
Tl 0.500 0.000 0.433
Tl 0.500 0.000 0.933
Tl 0.567 0.567 0.567
Tl 0.933 0.500 0.000
Te 0.005 0.750 0.755
Te 0.245 0.750 0.995
Te 0.250 0.505 0.255
Te 0.250 0.745 0.495
Te 0.255 0.250 0.505
Te 0.495 0.250 0.745
Te 0.505 0.255 0.250
Te 0.745 0.495 0.250
Te 0.750 0.755 0.005
Te 0.750 0.995 0.245
Te 0.755 0.005 0.750
Te 0.995 0.245 0.750

=====

*2*
This record from Alexandria describes crystalline Tl2Te3 at its relaxed geometry. The functional is PBE.

Lattice parameters (Å, degrees): 7.454 7.454 8.159 103.48 103.48 52.89
Element x y z (fractional)
Tl 0.048 0.736 0.557
Tl 0.264 0.952 0.943
Tl 0.736 0.048 0.057
Tl 0.952 0.264 0.443
Te 0.179 0.465 0.928
Te 0.362 0.638 0.250
Te 0.465 0.179 0.428
Te 0.535 0.821 0.572
Te 0.638 0.362 0.750
Te 0.821 0.535 0.072

=====

*3*
This record from Alexandria describes crystalline Tl2Te3 at its relaxed geometry. The functional is PBE.

Lattice parameters (Å, degrees): 8.637 8.637 8.637 53.21 53.21 53.21
Element x y z (fractional)
Tl 0.116 0.116 0.116
Tl 0.384 0.384 0.384
Tl 0.616 0.616 0.616
Tl 0.884 0.884 0.884
Te 0.017 0.250 0.483
Te 0.250 0.483 0.017
Te 0.483 0.017 0.250
Te 0.517 0.983 0.750
Te 0.750 0.517 0.983
Te 0.983 0.750 0.517

=====

Stability ranking, top entry: *2*; the second entry is 10.0 kJ/mol of atoms less favorable.

=====

*1*
This record from Alexandria describes crystalline Tl2Te3 at its relaxed geometry. The functional is PBE.

Lattice parameters (Å, degrees): 6.962 6.962 10.366 116.75 116.75 58.87
Element x y z (fractional)
Tl 0.005 0.995 0.500
Tl 0.347 0.499 0.244
Tl 0.499 0.347 0.744
Tl 0.995 0.005 0.000
Te 0.063 0.355 0.855
Te 0.355 0.063 0.355
Te 0.494 0.960 0.974
Te 0.635 0.719 0.700
Te 0.719 0.635 0.200
Te 0.960 0.494 0.474

=====

*2*
This record from Alexandria describes crystalline Tl2Te3 at its relaxed geometry. The functional is PBE.

Lattice parameters (Å, degrees): 5.344 8.573 8.599 83.92 73.10 73.16
Element x y z (fractional)
Tl 0.000 0.000 0.000
Tl 0.006 0.357 0.621
Tl 0.339 0.646 0.656
Tl 0.351 0.999 0.286
Te 0.397 0.494 0.134
Te 0.424 0.266 0.901
Te 0.649 0.727 0.920
Te 0.653 0.276 0.362
Te 0.773 0.992 0.633
Te 0.908 0.746 0.391

=====

Stability ranking, top entry: *1*; the second entry is 1.1 kJ/mol of atoms less favorable.

=====

*1*
This record from Alexandria describes crystalline Tl5Te4 at its relaxed geometry. The functional is PBE.

Lattice parameters (Å, degrees): 8.256 8.256 11.501 124.11 124.11 31.77
Element x y z (fractional)
Tl 0.000 0.000 0.000
Tl 0.249 0.249 0.380
Tl 0.374 0.374 0.191
Tl 0.626 0.626 0.809
Tl 0.751 0.751 0.620
Te 0.055 0.055 0.438
Te 0.306 0.306 0.862
Te 0.694 0.694 0.138
Te 0.945 0.945 0.562

=====

*2*
This record from Alexandria describes crystalline Tl5Te4 at its relaxed geometry. The functional is PBE.

Lattice parameters (Å, degrees): 8.564 8.564 4.412 101.14 101.14 86.86
Element x y z (fractional)
Tl 0.000 0.000 0.000
Tl 0.283 0.283 0.221
Tl 0.340 0.660 0.000
Tl 0.660 0.340 0.000
Tl 0.717 0.717 0.779
Te 0.040 0.658 0.434
Te 0.342 0.960 0.566
Te 0.658 0.040 0.434
Te 0.960 0.342 0.566

=====

*3*
This record from Alexandria describes crystalline Tl5Te4 at its relaxed geometry. The functional is PBE.

Lattice parameters (Å, degrees): 7.865 7.865 7.865 98.08 98.08 135.96
Element x y z (fractional)
Tl 0.000 0.000 0.000
Tl 0.321 0.321 0.643
Tl 0.321 0.679 0.000
Tl 0.679 0.321 0.000
Tl 0.679 0.679 0.357
Te 0.000 0.291 0.291
Te 0.000 0.709 0.709
Te 0.291 0.000 0.291
Te 0.709 0.000 0.709

=====

Stability ranking, top entry: *1*; the second entry is 0.9 kJ/mol of atoms less favorable.